(1)
# PBE La3Cu3Bi4, optimized geometry
data_La3Cu3Bi4
_chemical_formula_sum 'La12 Cu12 Bi16'
_cell_length_a 10.089
_cell_length_b 10.089
_cell_length_c 10.089
_cell_angle_alpha 90.00
_cell_angle_beta 90.00
_cell_angle_gamma 90.00
_space_group_name_H-M_alt 'I -4 3 d'
_space_group_IT_number 220
_space_group_name_Hall 'I -4bd 2c 3'
loop_
_atom_site_label
_atom_site_type_symbol
_atom_site_fract_x
_atom_site_fract_y
_atom_site_fract_z
La1 La 0.000 0.250 0.875
Cu1 Cu 0.000 0.250 0.375
Bi1 Bi 0.081 0.419 0.581
# - mass density (g/cm³) = 9.33
# - electronic total energy (eV per atom) = -4.8850

(2)
# PBE LaNdCu2Bi4, optimized geometry
data_LaNdCu2Bi4
_chemical_formula_sum 'La1 Nd1 Cu2 Bi4'
_cell_length_a 4.613
_cell_length_b 4.613
_cell_length_c 10.014
_cell_angle_alpha 90.00
_cell_angle_beta 90.00
_cell_angle_gamma 90.00
_space_group_name_H-M_alt 'P 4 m m'
_space_group_IT_number 99
loop_
_space_group_symop_operation_xyz
'x,y,z'
'-y,x,z'
'-x,-y,z'
'y,-x,z'
'-x,y,z'
'y,x,z'
'x,-y,z'
'-y,-x,z'
loop_
_atom_site_label
_atom_site_type_symbol
_atom_site_fract_x
_atom_site_fract_y
_atom_site_fract_z
La1 La 0.000 0.000 0.000
Nd1 Nd 0.500 0.500 0.527
Cu1 Cu 0.000 0.500 0.761
Bi1 Bi 0.000 0.000 0.603
Bi2 Bi 0.000 0.500 0.266
Bi3 Bi 0.500 0.500 0.919
# - mass density (g/cm³) = 9.71
# - electronic total energy (eV per atom) = -4.6891

(3)
# PBE La2CuNiBi4, optimized geometry
data_La2CuNiBi4
_chemical_formula_sum 'La2 Cu1 Ni1 Bi4'
_cell_length_a 4.631
_cell_length_b 4.631
_cell_length_c 9.950
_cell_angle_alpha 90.00
_cell_angle_beta 90.00
_cell_angle_gamma 90.00
_space_group_name_H-M_alt 'P -4 m 2'
_space_group_IT_number 115
loop_
_space_group_symop_operation_xyz
'x,y,z'
'y,-x,-z'
'-x,-y,z'
'-y,x,-z'
'-x,y,z'
'-y,-x,-z'
'x,-y,z'
'y,x,-z'
loop_
_atom_site_label
_atom_site_type_symbol
_atom_site_fract_x
_atom_site_fract_y
_atom_site_fract_z
La1 La 0.000 0.500 0.231
Cu1 Cu 0.000 0.000 0.000
Ni1 Ni 0.500 0.500 0.000
Bi1 Bi 0.000 0.000 0.500
Bi2 Bi 0.000 0.500 0.854
Bi3 Bi 0.500 0.500 0.500
# - mass density (g/cm³) = 9.62
# - electronic total energy (eV per atom) = -4.9781

(4)
# PBE LaTbCu2Bi4, optimized geometry
data_LaTbCu2Bi4
_chemical_formula_sum 'La1 Tb1 Cu2 Bi4'
_cell_length_a 4.582
_cell_length_b 4.582
_cell_length_c 9.957
_cell_angle_alpha 90.00
_cell_angle_beta 90.00
_cell_angle_gamma 90.00
_space_group_name_H-M_alt 'P 4 m m'
_space_group_IT_number 99
loop_
_space_group_symop_operation_xyz
'x,y,z'
'-y,x,z'
'-x,-y,z'
'y,-x,z'
'-x,y,z'
'y,x,z'
'x,-y,z'
'-y,-x,z'
loop_
_atom_site_label
_atom_site_type_symbol
_atom_site_fract_x
_atom_site_fract_y
_atom_site_fract_z
La1 La 0.000 0.000 0.000
Tb1 Tb 0.500 0.500 0.530
Cu1 Cu 0.000 0.500 0.756
Bi1 Bi 0.000 0.000 0.596
Bi2 Bi 0.000 0.500 0.271
Bi3 Bi 0.500 0.500 0.918
# - mass density (g/cm³) = 10.01
# - electronic total energy (eV per atom) = -4.6391

(5)
# PBE LaYCu2Bi4, optimized geometry
data_LaYCu2Bi4
_chemical_formula_sum 'La1 Y1 Cu2 Bi4'
_cell_length_a 4.573
_cell_length_b 4.573
_cell_length_c 9.911
_cell_angle_alpha 90.00
_cell_angle_beta 90.00
_cell_angle_gamma 90.00
_space_group_name_H-M_alt 'P 4 m m'
_space_group_IT_number 99
loop_
_space_group_symop_operation_xyz
'x,y,z'
'-y,x,z'
'-x,-y,z'
'y,-x,z'
'-x,y,z'
'y,x,z'
'x,-y,z'
'-y,-x,z'
loop_
_atom_site_label
_atom_site_type_symbol
_atom_site_fract_x
_atom_site_fract_y
_atom_site_fract_z
La1 La 0.000 0.000 0.000
Y1 Y 0.500 0.500 0.527
Cu1 Cu 0.000 0.500 0.755
Bi1 Bi 0.000 0.000 0.596
Bi2 Bi 0.000 0.500 0.270
Bi3 Bi 0.500 0.500 0.917
# - mass density (g/cm³) = 9.54
# - electronic total energy (eV per atom) = -4.8659

(6)
# PBE LiCuBi3, optimized geometry
data_LiCuBi3
_chemical_formula_sum 'Li1 Cu1 Bi3'
_cell_length_a 3.219
_cell_length_b 7.008
_cell_length_c 7.080
_cell_angle_alpha 119.29
_cell_angle_beta 90.05
_cell_angle_gamma 90.08
_space_group_name_H-M_alt 'P 1'
_space_group_IT_number 1
loop_
_space_group_symop_operation_xyz
'x,y,z'
loop_
_atom_site_label
_atom_site_type_symbol
_atom_site_fract_x
_atom_site_fract_y
_atom_site_fract_z
Li1 Li 0.000 0.000 0.000
Cu1 Cu 0.585 0.333 0.671
Bi1 Bi 0.495 0.681 0.614
Bi2 Bi 0.496 0.392 0.071
Bi3 Bi 0.497 0.937 0.323
# - mass density (g/cm³) = 8.32
# - electronic total energy (eV per atom) = -3.4259

no.,V (Å³/atom)
1,25.68
2,26.63
3,26.67
4,26.13
5,25.91
6,27.85